{
  "formula": "Co2Te2Br",
  "functional": "PBEsol",
  "state": "optimized geometry",
  "lattice": [[-3.0238, 1.7521, -1.1272], [-0.7879, -2.8009, -2.2401], [-2.1284, -2.8282, 7.2945]],
  "species": ["Te", "Te", "Co", "Co", "Br"],
  "frac_coords": [[0.3554, 0.3554, 0.7108], [0.6446, 0.6446, 0.2892], [0.2500, 0.7500, 0.5000], [0.7500, 0.2500, 0.5000], [0.0000, 0.0000, 0.0000]],
  "volume_a3_per_cell": 104,
  "mass_density_g_cm3": 7.26,
  "formation_energy_uncorrected_ev_per_fu": -1.1,
  "m_tot_mub_per_fu": 0.000
}